[1]
VASP calculation (PBE-GGA) on an optimized crystal structure of CsNa2Se2.

## Properties
**Mass density**: 4.031 g cm⁻³
**Distance to the lowest polymorph of the same formula**: 6 kJ/mol of formula units

Unit cell a=8.967 b=8.967 c=3.451 alpha=90.00 beta=90.00 gamma=90.00
Space group P4/mbm (No. 127)
Unique sites:
Cs1 0.000 0.000 0.000 (multiplicity 2)
Na1 0.123 0.377 0.000 (multiplicity 4)
Se1 0.169 0.669 0.500 (multiplicity 4)



[2]
VASP calculation (PBE-GGA) on an optimized crystal structure of CsNaSe2.

## Properties
**Mass density**: 3.552 g cm⁻³
**Distance to the lowest polymorph of the same formula**: 0 kJ/mol of formula units

Unit cell a=5.519 b=5.519 c=19.264 alpha=90.00 beta=90.00 gamma=90.00
Space group I-42d (No. 122)
Unique sites:
Cs1 0.000 0.000 0.000 (multiplicity 4)
Na1 0.000 0.000 0.500 (multiplicity 4)
Se1 0.057 0.250 0.625 (multiplicity 8)



[3]
VASP calculation (PBE-GGA) on an optimized crystal structure of CsNa2SiSe4.

## Properties
**Mass density**: 3.277 g cm⁻³

Unit cell a=7.518 b=7.536 c=9.354 alpha=90.00 beta=90.00 gamma=90.00
Space group I222 (No. 23)
Unique sites:
Cs1 0.000 0.000 0.000 (multiplicity 2)
Na1 0.000 0.500 0.251 (multiplicity 4)
Si1 0.000 0.000 0.500 (multiplicity 2)
Se1 0.176 0.175 0.640 (multiplicity 8)



[4]
VASP calculation (PBE-GGA) on an optimized crystal structure of CsNa2SiSe.

## Properties
**Mass density**: 2.199 g cm⁻³

Unit cell a=6.208 b=6.208 c=5.604 alpha=90.00 beta=90.00 gamma=90.00
Space group P4/mmm (No. 123)
Unique sites:
Cs1 0.000 0.000 0.000 (multiplicity 1)
Na1 0.000 0.500 0.000 (multiplicity 2)
Si1 0.000 0.000 0.500 (multiplicity 1)
Se1 0.500 0.500 0.500 (multiplicity 1)



[5]
VASP calculation (PBE-GGA) on an optimized crystal structure of Cs2NaSiSe4.

## Properties
**Mass density**: 3.424 g cm⁻³

Unit cell a=6.613 b=14.401 c=25.778 alpha=90.00 beta=90.00 gamma=90.00
Space group Fddd (No. 70, origin choice 2)
Unique sites:
Cs1 0.125 0.125 0.303 (multiplicity 16)
Na1 0.125 0.125 0.125 (multiplicity 8)
Si1 0.125 0.125 0.625 (multiplicity 8)
Se1 0.064 0.280 0.822 (multiplicity 32)



[6]
VASP calculation (PBE-GGA) on an optimized crystal structure of CsNaSmSe2.

## Properties
**Mass density**: 3.715 g cm⁻³

Unit cell a=8.120 b=16.729 c=6.109 alpha=90.00 beta=90.00 gamma=90.00
Space group Cmme (No. 67)
Unique sites:
Cs1 0.000 0.250 0.185 (multiplicity 4)
Na1 0.000 0.000 0.000 (multiplicity 4)
Sm1 0.250 0.000 0.500 (multiplicity 4)
Se1 0.000 0.110 0.637 (multiplicity 8)



Number 1: final energy -29.73 eV per cell. Number 2: final energy -49.54 eV per cell. Number 3: final energy -58.96 eV per cell. Number 4: final energy -7.44 eV per cell. Number 5: final energy -233.99 eV per cell. Number 6: final energy -78.39 eV per cell.